Density functional theory data (GGA-PBE) for a relaxed AcLaSm2 crystal.

The electronic total energy comes out at -4.586 eV/atom. The calculated formation energy comes out at 32 meV per atom. The offset from the most stable computed form is 6 meV per atom.

The space group is P4/mmm (No. 123) and the conventional cell measures 3.795, 3.795 and 10.331 Å, with angles of 90.00, 90.00 and 90.00 degrees. Symmetry generates all atoms from Ac at (0.000, 0.000, 0.000), La at (0.000, 0.000, 0.500) and Sm at (0.500, 0.500, 0.258).